Density functional theory data (GGA-PBE) for crystalline La2TeCl2 at its relaxed geometry.

Summary:
- crystal system = tetragonal
- E_tot (eV per atom) = -4.90
- uncorrected formation energy (eV per atom) = -1.559
- space group = P4/mbm, No. 127

Cell lengths 8.5006, 8.5006, 3.6452 Å; angles 90.00, 90.00, 90.00 degrees
Last column: nearest neighbours and their distance in Å.
Atoms (fractional coordinates):
Cl  0.3796  0.8796  0.0000  1 Cl 2.89, 6 La 2.98-3.21
Cl  0.8796  0.6204  0.0000  1 Cl 2.89, 6 La 2.98-3.21
Cl  0.6204  0.1204  0.0000  1 Cl 2.89, 6 La 2.98-3.21
Cl  0.1204  0.3796  0.0000  1 Cl 2.89, 6 La 2.98-3.21
Te  0.0000  0.0000  0.0000  4 Cl 3.39, 8 La 3.61, 2 Te 3.65
Te  0.5000  0.5000  0.0000  4 Cl 3.39, 8 La 3.61, 2 Te 3.65
La  0.1833  0.6833  0.5000  6 Cl 2.98-3.21
La  0.6833  0.8167  0.5000  6 Cl 2.98-3.21
La  0.8167  0.3167  0.5000  6 Cl 2.98-3.21
La  0.3167  0.1833  0.5000  6 Cl 2.98-3.21

---

Density functional theory data (GGA-PBE) for crystalline TlAsI2 at its relaxed geometry.

Summary:
- crystal system = cubic
- E_tot (eV per atom) = -2.26
- uncorrected formation energy (eV per atom) = 0.269
- offset from the most stable computed form (eV per formula unit) = 0.809
- space group = Fm-3m, No. 225

Cell lengths 5.7180, 5.7180, 5.7180 Å; angles 60.00, 60.00, 60.00 degrees
Last column: nearest neighbours and their distance in Å.
Atoms (fractional coordinates):
I  0.2500  0.2500  0.2500  4 Tl 3.50, 4 As 3.50
I  0.7500  0.7500  0.7500  4 Tl 3.50, 4 As 3.50
Tl  0.5000  0.5000  0.5000  8 I 3.50
As  0.0000  0.0000  0.0000  8 I 3.50

---

Question: The lowest E_tot belongs to which entry?
Answer: La2TeCl2

---

Copy entry 1 word for word.
Density functional theory data (GGA-PBE) for crystalline La2TeCl2 at its relaxed geometry.

Summary:
- crystal system = tetragonal
- E_tot (eV per atom) = -4.90
- uncorrected formation energy (eV per atom) = -1.559
- space group = P4/mbm, No. 127

Cell lengths 8.5006, 8.5006, 3.6452 Å; angles 90.00, 90.00, 90.00 degrees
Last column: nearest neighbours and their distance in Å.
Atoms (fractional coordinates):
Cl  0.3796  0.8796  0.0000  1 Cl 2.89, 6 La 2.98-3.21
Cl  0.8796  0.6204  0.0000  1 Cl 2.89, 6 La 2.98-3.21
Cl  0.6204  0.1204  0.0000  1 Cl 2.89, 6 La 2.98-3.21
Cl  0.1204  0.3796  0.0000  1 Cl 2.89, 6 La 2.98-3.21
Te  0.0000  0.0000  0.0000  4 Cl 3.39, 8 La 3.61, 2 Te 3.65
Te  0.5000  0.5000  0.0000  4 Cl 3.39, 8 La 3.61, 2 Te 3.65
La  0.1833  0.6833  0.5000  6 Cl 2.98-3.21
La  0.6833  0.8167  0.5000  6 Cl 2.98-3.21
La  0.8167  0.3167  0.5000  6 Cl 2.98-3.21
La  0.3167  0.1833  0.5000  6 Cl 2.98-3.21

---

Copy entry 2 word for word.
Density functional theory data (GGA-PBE) for crystalline TlAsI2 at its relaxed geometry.

Summary:
- crystal system = cubic
- E_tot (eV per atom) = -2.26
- uncorrected formation energy (eV per atom) = 0.269
- offset from the most stable computed form (eV per formula unit) = 0.809
- space group = Fm-3m, No. 225

Cell lengths 5.7180, 5.7180, 5.7180 Å; angles 60.00, 60.00, 60.00 degrees
Last column: nearest neighbours and their distance in Å.
Atoms (fractional coordinates):
I  0.2500  0.2500  0.2500  4 Tl 3.50, 4 As 3.50
I  0.7500  0.7500  0.7500  4 Tl 3.50, 4 As 3.50
Tl  0.5000  0.5000  0.5000  8 I 3.50
As  0.0000  0.0000  0.0000  8 I 3.50